No. 1
A geometry-optimized CaPmSi2Pt5 structure. Source: Alexandria via LeMat-Bulk, functional PBE-GGA.

Values from the calculation:
Uncorrected formation energy, meV per atom: -999.7

Lattice parameters (Å, degrees): 4.1984 4.1984 9.1316 90.00 90.00 90.00
With the nearest neighbours (Å) after each atom.
Positions (direct):
Ca 0.0000 0.0000 0.0000  8 Pt 3.19, 8 Si 3.20
Pm 0.0000 0.0000 0.5000  12 Pt 2.97-3.02
Si 0.5000 0.5000 0.1316  1 Si 2.40, 4 Pt 2.42
Si 0.5000 0.5000 0.8684  1 Si 2.40, 4 Pt 2.42
Pt 0.0000 0.5000 0.2629  2 Si 2.42
Pt 0.0000 0.5000 0.7371  2 Si 2.42
Pt 0.5000 0.0000 0.2629  2 Si 2.42
Pt 0.5000 0.0000 0.7371  2 Si 2.42
Pt 0.5000 0.5000 0.5000  4 Pm 2.97, 8 Pt 3.02

---

No. 2
A geometry-optimized CaPmSi2Pt2 structure. Source: Alexandria via LeMat-Bulk, functional PBE-GGA.

Values from the calculation:
Uncorrected formation energy, meV per atom: -1024.1

Lattice parameters (Å, degrees): 4.1397 4.1397 8.6195 90.00 90.00 120.00
With the nearest neighbours (Å) after each atom.
Positions (direct):
Ca 0.0000 0.0000 0.0000  6 Si 3.23, 6 Pt 3.24
Pm 0.0000 0.0000 0.5000  6 Pt 3.20, 6 Si 3.21
Si 0.3333 0.6667 0.7482  3 Pt 2.39
Si 0.6667 0.3333 0.2518  3 Pt 2.39
Pt 0.3333 0.6667 0.2531  3 Si 2.39
Pt 0.6667 0.3333 0.7469  3 Si 2.39

---

No. 3
A geometry-optimized CaPmSiPt structure. Source: Alexandria via LeMat-Bulk, functional PBE-GGA.

Values from the calculation:
Uncorrected formation energy, meV per atom: -688.2

Lattice parameters (Å, degrees): 5.0488 5.0488 5.0488 60.00 60.00 60.00
With the nearest neighbours (Å) after each atom.
Positions (direct):
Ca 0.0000 0.0000 0.0000  4 Pt 3.09, 4 Si 3.09
Pm 0.5000 0.5000 0.5000  4 Pt 3.09, 4 Si 3.09
Si 0.2500 0.2500 0.2500  4 Ca 3.09, 4 Pm 3.09
Pt 0.7500 0.7500 0.7500  4 Ca 3.09, 4 Pm 3.09